(1)
Material: FeHgBr2
Method: DFT, GGA-PBE
State: relaxed

abc: 3.916 3.916 9.456
angles: 90.00 90.00 125.53
Last column: magnetic moment on the atom in μB.
Element x y z (fractional)
Br  0.500  0.500  0.331  0.11
Br  0.000  0.000  0.938  0.00
Fe  0.000  0.000  0.508  3.14
Hg  0.500  0.500  0.723  -0.03

Summary:
total energy: -11.9 eV/cell
excess energy over the best structure of this formula in the dataset: 264 meV per atom
ΔE_f (raw): 0.065 eV/atom
volume: 118.0 Å³/f.u.
DOS(E_F): 4.1 states/eV/f.u.

***

(2)
Material: ScNiAuI2
Method: DFT, GGA-PBE
State: relaxed

abc: 5.533 4.794 5.533
angles: 90.00 90.00 90.00
Element x y z (fractional)
I  0.500  0.000  0.000
I  0.000  0.000  0.500
Au  0.000  0.000  0.000
Ni  0.000  0.500  0.000
Sc  0.500  0.500  0.500

Summary:
total energy: -15.3 eV/cell
ΔE_f (raw): 0.630 eV/atom
volume: 146.8 Å³/f.u.
DOS(E_F): 6.0 states/eV/f.u.

***

(3)
Material: Hg3Pd2Au4
Method: DFT, GGA-PBE
State: relaxed

abc: 5.020 8.437 8.437
angles: 74.59 81.55 81.55
Element x y z (fractional)
Pd  0.693  0.488  0.737
Pd  0.193  0.737  0.488
Pd  0.807  0.263  0.512
Pd  0.307  0.512  0.263
Au  0.372  0.158  0.400
Au  0.972  0.183  0.923
Au  0.872  0.400  0.158
Au  0.472  0.923  0.183
Au  0.528  0.077  0.817
Au  0.128  0.600  0.842
Au  0.028  0.817  0.077
Au  0.628  0.842  0.600
Hg  0.077  0.962  0.701
Hg  0.577  0.701  0.962
Hg  0.250  0.386  0.614
Hg  0.423  0.299  0.038
Hg  0.923  0.038  0.299
Hg  0.750  0.614  0.386

Summary:
total energy: -49.0 eV/cell
DFT formation energy: -0.012 eV/atom
volume: 169.3 Å³/f.u.
DOS(E_F): 2.8 states/eV/f.u.

***

(4)
Material: PmGdGa2
Method: DFT, GGA-PBE
State: relaxed

abc: 3.633 3.633 7.306
angles: 90.00 90.00 90.00
Last column: magnetic moment on the atom in μB.
Element x y z (fractional)
Ga  0.000  0.000  0.244  -0.01
Ga  0.000  0.000  0.756  -0.01
Gd  0.500  0.500  0.000  7.08
Pm  0.500  0.500  0.500  -0.04

Summary:
total energy: -27.2 eV/cell
DFT formation energy: -0.582 eV/atom
excess energy over the best structure of this formula in the dataset: 0 meV per atom
volume: 96.4 Å³/f.u.
DOS(E_F): 2.0 states/eV/f.u.

***

(5)
Material: Re2HgCl
Method: DFT, GGA-PBE
State: relaxed

abc: 7.242 7.242 7.242
angles: 151.06 151.06 41.38
Last column: magnetic moment on the atom in μB.
Element x y z (fractional)
Cl  0.250  0.750  0.500  0.01
Re  0.500  0.500  0.000  0.28
Re  0.000  0.000  0.000  0.28
Hg  0.750  0.250  0.500  0.00

Summary:
total energy: -21.3 eV/cell
excess energy over the best structure of this formula in the dataset: 1262 meV per atom
ΔE_f (raw): 1.443 eV/atom
volume: 88.7 Å³/f.u.
DOS(E_F): 3.1 states/eV/f.u.

***

(6)
Material: SrLaAu2
Method: DFT, GGA-PBE
State: relaxed

abc: 8.116 8.116 6.991
angles: 54.51 54.51 90.00
Element x y z (fractional)
Au  0.375  0.362  0.750
Au  0.875  0.888  0.750
Au  0.112  0.625  0.250
Au  0.638  0.125  0.250
La  0.000  0.000  0.000
La  0.750  0.250  0.500
Sr  0.250  0.750  0.500
Sr  0.500  0.500  0.000

Summary:
total energy: -30.1 eV/cell
DFT formation energy: -0.474 eV/atom
volume: 131.5 Å³/f.u.
DOS(E_F): 3.7 states/eV/f.u.

***

(7)
Material: AgPRh4
Method: DFT, GGA-PBE
State: relaxed

abc: 5.145 5.145 5.145
angles: 60.00 60.00 60.00
Last column: magnetic moment on the atom in μB.
Element x y z (fractional)
Ag  0.250  0.250  0.250  0.00
Rh  0.625  0.625  0.625  0.09
Rh  0.625  0.625  0.124  0.09
Rh  0.625  0.124  0.625  0.09
Rh  0.124  0.625  0.625  0.09
P  0.000  0.000  0.000  0.00

Summary:
total energy: -34.6 eV/cell
DFT formation energy: 0.518 eV/atom
volume: 96.3 Å³/f.u.
DOS(E_F): 11.4 states/eV/f.u.

***

(8)
Material: MgPaAgHg
Method: DFT, GGA-PBE
State: relaxed

abc: 5.046 5.046 5.046
angles: 60.00 60.00 60.00
Last column: magnetic moment on the atom in μB.
Element x y z (fractional)
Ag  0.250  0.250  0.250  0.00
Hg  0.750  0.750  0.750  0.01
Pa  0.500  0.500  0.500  0.53
Mg  0.000  0.000  0.000  0.00

Summary:
total energy: -14.1 eV/cell
DFT formation energy: 0.024 eV/atom
volume: 90.8 Å³/f.u.
DOS(E_F): 4.9 states/eV/f.u.

***

Which value of total energy does entry 6 give?
-30.1 eV/cell

***

Copy entry 1 word for word.
Material: FeHgBr2
Method: DFT, GGA-PBE
State: relaxed

abc: 3.916 3.916 9.456
angles: 90.00 90.00 125.53
Last column: magnetic moment on the atom in μB.
Element x y z (fractional)
Br  0.500  0.500  0.331  0.11
Br  0.000  0.000  0.938  0.00
Fe  0.000  0.000  0.508  3.14
Hg  0.500  0.500  0.723  -0.03

Summary:
total energy: -11.9 eV/cell
excess energy over the best structure of this formula in the dataset: 264 meV per atom
ΔE_f (raw): 0.065 eV/atom
volume: 118.0 Å³/f.u.
DOS(E_F): 4.1 states/eV/f.u.